! Ti2NbCrCd PBE optimized geometry; values from VASP
! D(E_F): 1.348 states/eV per atom
! total magnetization: 0.01 μB/f.u.
! energy: -6.50 eV/atom
&SYSTEM
  ibrav = 0, nat = 5, ntyp = 4
/
ATOMIC_SPECIES
Cd 112.41 Cd.upf
Ti 47.87 Ti.upf
Cr 52.00 Cr.upf
Nb 92.91 Nb.upf
CELL_PARAMETERS angstrom
4.349 0.000 0.000
0.000 4.965 0.000
0.000 0.000 4.349
ATOMIC_POSITIONS crystal
Cd 0.000 0.500 0.000
Ti 0.000 0.000 0.500
Ti 0.500 0.000 0.000
Cr 0.000 0.000 0.000
Nb 0.500 0.500 0.500